# TcAg2P2 PBE-GGA optimized geometry
# Crystal system: tetragonal
# Uncorrected energy (eV/cell): -53.93
# Formation energy (eV/atom): -0.015
# ρ (g cm⁻³): 7.48
# Total magnetization (μB/f.u.): 0.00
data_TcAg2P2
_cell_length_a 6.0367
_cell_length_b 6.0367
_cell_length_c 4.5755
_cell_angle_alpha 90.00
_cell_angle_beta 90.00
_cell_angle_gamma 90.00
_symmetry_space_group_name_H-M 'P 4/m b m'
_symmetry_Int_Tables_number 127
_symmetry_space_group_name_Hall '-P 4 2ab'
loop_
_atom_site_label
_atom_site_type_symbol
_atom_site_fract_x
_atom_site_fract_y
_atom_site_fract_z
_atom_site_occupancy
Tc1 Tc 0.0000 0.0000 0.0000 1
Ag1 Ag 0.2501 0.2499 0.5000 1
P1 P 0.1314 0.3686 0.0000 1

=====

# Tc2AgP PBE-GGA optimized geometry
# Crystal system: monoclinic
# Uncorrected energy (eV/cell): -53.43
# Formation energy (eV/atom): 0.570
# ρ (g cm⁻³): 9.27
# Total magnetization (μB/f.u.): 0.00
data_Tc2AgP
_cell_length_a 5.4463
_cell_length_b 8.6823
_cell_length_c 2.7808
_cell_angle_alpha 90.00
_cell_angle_beta 114.13
_cell_angle_gamma 90.00
_symmetry_space_group_name_H-M 'C 1 2/m 1'
_symmetry_Int_Tables_number 12
_symmetry_space_group_name_Hall '-C 2y'
loop_
_atom_site_label
_atom_site_type_symbol
_atom_site_fract_x
_atom_site_fract_y
_atom_site_fract_z
_atom_site_occupancy
Tc1 Tc 0.2500 0.2500 0.0000 1
Ag1 Ag 0.0000 0.0000 0.5000 1
P1 P 0.0000 0.5000 0.5000 1

=====

# Tc2AgP PBE-GGA optimized geometry
# Crystal system: tetragonal
# Uncorrected energy (eV/cell): -28.94
# Formation energy (eV/atom): 0.014
# ρ (g cm⁻³): 9.52
# Total magnetization (μB/f.u.): 0.00
data_Tc2AgP
_cell_length_a 2.9353
_cell_length_b 2.9353
_cell_length_c 6.7783
_cell_angle_alpha 90.00
_cell_angle_beta 90.00
_cell_angle_gamma 90.00
_symmetry_space_group_name_H-M 'P 4/m m m'
_symmetry_Int_Tables_number 123
_symmetry_space_group_name_Hall '-P 4 2'
loop_
_atom_site_label
_atom_site_type_symbol
_atom_site_fract_x
_atom_site_fract_y
_atom_site_fract_z
_atom_site_occupancy
Tc1 Tc 0.0000 0.0000 0.1956 1
Ag1 Ag 0.5000 0.5000 0.5000 1
P1 P 0.5000 0.5000 0.0000 1

=====

# Tc2AgP PBE-GGA optimized geometry
# Crystal system: orthorhombic
# Uncorrected energy (eV/cell): -55.90
# Formation energy (eV/atom): 0.261
# ρ (g cm⁻³): 9.17
# Total magnetization (μB/f.u.): 0.00
data_Tc2AgP
_cell_length_a 3.0055
_cell_length_b 4.7702
_cell_length_c 8.4587
_cell_angle_alpha 90.00
_cell_angle_beta 90.00
_cell_angle_gamma 90.00
_symmetry_space_group_name_H-M 'C m m m'
_symmetry_Int_Tables_number 65
_symmetry_space_group_name_Hall '-C 2 2'
loop_
_atom_site_label
_atom_site_type_symbol
_atom_site_fract_x
_atom_site_fract_y
_atom_site_fract_z
_atom_site_occupancy
Tc1 Tc 0.0000 0.0000 0.2088 1
Ag1 Ag 0.0000 0.5000 0.5000 1
P1 P 0.0000 0.5000 0.0000 1

=====

# Tc2AgP PBE-GGA optimized geometry
# Crystal system: orthorhombic
# Uncorrected energy (eV/cell): -56.47
# Formation energy (eV/atom): 0.190
# ρ (g cm⁻³): 8.94
# Total magnetization (μB/f.u.): 0.00
data_Tc2AgP
_cell_length_a 4.2290
_cell_length_b 2.9008
_cell_length_c 10.1432
_cell_angle_alpha 90.00
_cell_angle_beta 90.00
_cell_angle_gamma 90.00
_symmetry_space_group_name_H-M 'A m m 2'
_symmetry_Int_Tables_number 38
_symmetry_space_group_name_Hall 'A 2 -2'
loop_
_atom_site_label
_atom_site_type_symbol
_atom_site_fract_x
_atom_site_fract_y
_atom_site_fract_z
_atom_site_occupancy
Tc1 Tc 0.0000 0.0000 0.0000 1
Tc2 Tc 0.5000 0.0000 0.3992 1
Ag1 Ag 0.5000 0.0000 0.6601 1
P1 P 0.0000 0.0000 0.3061 1

=====

# TcAgP2 PBE-GGA optimized geometry
# Crystal system: tetragonal
# Uncorrected energy (eV/cell): -94.07
# Formation energy (eV/atom): 0.130
# ρ (g cm⁻³): 5.33
# Total magnetization (μB/f.u.): 0.00
data_TcAgP2
_cell_length_a 5.6540
_cell_length_b 5.6540
_cell_length_c 10.4362
_cell_angle_alpha 90.00
_cell_angle_beta 90.00
_cell_angle_gamma 90.00
_symmetry_space_group_name_H-M 'I -4 2 d'
_symmetry_Int_Tables_number 122
_symmetry_space_group_name_Hall 'I -4 2bw'
loop_
_atom_site_label
_atom_site_type_symbol
_atom_site_fract_x
_atom_site_fract_y
_atom_site_fract_z
_atom_site_occupancy
Tc1 Tc 0.0000 0.0000 0.0000 1
Ag1 Ag 0.0000 0.0000 0.5000 1
P1 P 0.2117 0.2500 0.1250 1

=====

# TcAgP2 PBE-GGA optimized geometry
# Crystal system: monoclinic
# Uncorrected energy (eV/cell): -47.66
# Formation energy (eV/atom): 0.051
# ρ (g cm⁻³): 7.07
# Total magnetization (μB/f.u.): 0.00
data_TcAgP2
_cell_length_a 7.8015
_cell_length_b 3.1142
_cell_length_c 5.2275
_cell_angle_alpha 90.00
_cell_angle_beta 98.00
_cell_angle_gamma 90.00
_symmetry_space_group_name_H-M 'C 1 2/m 1'
_symmetry_Int_Tables_number 12
_symmetry_space_group_name_Hall '-C 2y'
loop_
_atom_site_label
_atom_site_type_symbol
_atom_site_fract_x
_atom_site_fract_y
_atom_site_fract_z
_atom_site_occupancy
Tc1 Tc 0.0000 0.0000 0.0000 1
Ag1 Ag 0.0000 0.5000 0.5000 1
P1 P 0.2253 0.5000 0.1845 1

=====

# TcAgP3 PBE-GGA optimized geometry
# Crystal system: cubic
# Uncorrected energy (eV/cell): -26.25
# Formation energy (eV/atom): 0.639
# ρ (g cm⁻³): 4.97
# Total magnetization (μB/f.u.): 0.00
data_TcAgP3
_cell_length_a 4.6384
_cell_length_b 4.6384
_cell_length_c 4.6384
_cell_angle_alpha 90.00
_cell_angle_beta 90.00
_cell_angle_gamma 90.00
_symmetry_space_group_name_H-M 'P m -3 m'
_symmetry_Int_Tables_number 221
_symmetry_space_group_name_Hall '-P 4 2 3'
loop_
_atom_site_label
_atom_site_type_symbol
_atom_site_fract_x
_atom_site_fract_y
_atom_site_fract_z
_atom_site_occupancy
Tc1 Tc 0.0000 0.0000 0.0000 1
Ag1 Ag 0.5000 0.5000 0.5000 1
P1 P 0.0000 0.0000 0.5000 1

=====

# TcAgP2 PBE-GGA optimized geometry
# Crystal system: cubic
# Uncorrected energy (eV/cell): -90.11
# Formation energy (eV/atom): 0.377
# ρ (g cm⁻³): 7.50
# Total magnetization (μB/f.u.): 0.90
data_TcAgP2
_cell_length_a 6.1899
_cell_length_b 6.1899
_cell_length_c 6.1899
_cell_angle_alpha 90.00
_cell_angle_beta 90.00
_cell_angle_gamma 90.00
_symmetry_space_group_name_H-M 'F m -3 m'
_symmetry_Int_Tables_number 225
_symmetry_space_group_name_Hall '-F 4 2 3'
loop_
_atom_site_label
_atom_site_type_symbol
_atom_site_fract_x
_atom_site_fract_y
_atom_site_fract_z
_atom_site_occupancy
Tc1 Tc 0.0000 0.0000 0.0000 1
Ag1 Ag 0.0000 0.0000 0.5000 1
P1 P 0.2500 0.2500 0.2500 1

=====

# Tc2AgP PBE-GGA optimized geometry
# Crystal system: tetragonal
# Uncorrected energy (eV/cell): -27.57
# Formation energy (eV/atom): 0.357
# ρ (g cm⁻³): 9.72
# Total magnetization (μB/f.u.): 0.00
data_Tc2AgP
_cell_length_a 4.3476
_cell_length_b 4.3476
_cell_length_c 3.0275
_cell_angle_alpha 90.00
_cell_angle_beta 90.00
_cell_angle_gamma 90.00
_symmetry_space_group_name_H-M 'P 4/m m m'
_symmetry_Int_Tables_number 123
_symmetry_space_group_name_Hall '-P 4 2'
loop_
_atom_site_label
_atom_site_type_symbol
_atom_site_fract_x
_atom_site_fract_y
_atom_site_fract_z
_atom_site_occupancy
Tc1 Tc 0.0000 0.5000 0.0000 1
Ag1 Ag 0.0000 0.0000 0.5000 1
P1 P 0.5000 0.5000 0.5000 1

=====

# Tc2AgP PBE-GGA optimized geometry
# Crystal system: monoclinic
# Uncorrected energy (eV/cell): -28.38
# Formation energy (eV/atom): 0.153
# ρ (g cm⁻³): 9.19
# Total magnetization (μB/f.u.): 0.00
data_Tc2AgP
_cell_length_a 2.9552
_cell_length_b 3.5694
_cell_length_c 5.8565
_cell_angle_alpha 90.00
_cell_angle_beta 101.60
_cell_angle_gamma 90.00
_symmetry_space_group_name_H-M 'P 1 2/m 1'
_symmetry_Int_Tables_number 10
_symmetry_space_group_name_Hall '-P 2y'
loop_
_atom_site_label
_atom_site_type_symbol
_atom_site_fract_x
_atom_site_fract_y
_atom_site_fract_z
_atom_site_occupancy
Tc1 Tc 0.1366 0.0000 0.2945 1
Ag1 Ag 0.5000 0.5000 0.0000 1
P1 P 0.5000 0.5000 0.5000 1

=====

# Tc2AgTeP PBE-GGA optimized geometry
# Crystal system: tetragonal
# Uncorrected energy (eV/cell): -21.58
# ρ (g cm⁻³): 5.79
# Total magnetization (μB/f.u.): 6.34
# Energy relative to the elements, uncorrected (eV per atom): 2.11
data_Tc2AgTeP
_cell_length_a 5.1322
_cell_length_b 5.1322
_cell_length_c 5.0380
_cell_angle_alpha 90.00
_cell_angle_beta 90.00
_cell_angle_gamma 90.00
_symmetry_space_group_name_H-M 'P 4/m m m'
_symmetry_Int_Tables_number 123
_symmetry_space_group_name_Hall '-P 4 2'
loop_
_atom_site_label
_atom_site_type_symbol
_atom_site_fract_x
_atom_site_fract_y
_atom_site_fract_z
_atom_site_occupancy
Tc1 Tc 0.0000 0.5000 0.0000 1
Ag1 Ag 0.0000 0.0000 0.0000 1
Te1 Te 0.0000 0.0000 0.5000 1
P1 P 0.5000 0.5000 0.5000 1

=====

| no. | D(E_F) (states/eV/cell) |
| --- | --- |
| 1 | 5.8 |
| 2 | 8.4 |
| 3 | 3.7 |
| 4 | 7.4 |
| 5 | 4.2 |
| 6 | 7.4 |
| 7 | 4.8 |
| 8 | 5.5 |
| 9 | 12.7 |
| 10 | 3.6 |
| 11 | 3.1 |
| 12 | 5.7 |